(1)
Entry from Alexandria: a geometry-optimized LiBeSbI2 structure (PBE).

Properties
Distance to the lowest polymorph of the same formula in eV per formula unit: 2.88
Magnetic moment in Bohr magnetons per cell: 0.0
Formation energy (no corrections) in eV per atom: 0.634

Unit cell a=5.3589 b=5.3589 c=5.2358 alpha=90.00 beta=90.00 gamma=90.00
Last column: nearest neighbours and their distance in Å.
Atoms (fractional coordinates):
Sb (0.0000, 0.0000, 0.5000)  2 Li 2.62
Be (0.5000, 0.5000, 0.5000)  8 I 3.75, 4 Sb 3.79
Li (0.0000, 0.0000, 0.0000)  2 Sb 2.62, 4 I 2.68
I (0.0000, 0.5000, 0.0000)  2 Li 2.68
I (0.5000, 0.0000, 0.0000)  2 Li 2.68

---

(2)
Entry from Alexandria: a geometry-optimized Li2BeTcI structure (PBE).

Properties
Magnetic moment in Bohr magnetons per cell: 1.1
Formation energy (no corrections) in eV per atom: 1.122

Unit cell a=5.2058 b=5.2058 c=4.9676 alpha=90.00 beta=90.00 gamma=90.00
Last column: nearest neighbours and their distance in Å.
Atoms (fractional coordinates):
Li (0.0000, 0.5000, 0.0000)  2 Tc 2.60
Li (0.5000, 0.0000, 0.0000)  2 Tc 2.60
Be (0.5000, 0.5000, 0.5000)  8 Li 3.60, 4 I 3.68
I (0.0000, 0.0000, 0.5000)  2 Tc 2.48
Tc (0.0000, 0.0000, 0.0000)  2 I 2.48, 4 Li 2.60

---

(3)
Entry from Alexandria: a geometry-optimized LiBe2TcI structure (PBE).

Properties
Magnetic moment in Bohr magnetons per cell: 1.0
Formation energy (no corrections) in eV per atom: 1.501

Unit cell a=4.1395 b=4.5882 c=4.1395 alpha=90.00 beta=90.00 gamma=90.00
Last column: nearest neighbours and their distance in Å.
Atoms (fractional coordinates):
Li (0.0000, 0.0000, 0.0000)  4 Be 2.07, 2 I 2.29
Be (0.0000, 0.0000, 0.5000)  2 Li 2.07
Be (0.5000, 0.0000, 0.0000)  2 Li 2.07
I (0.0000, 0.5000, 0.0000)  2 Li 2.29
Tc (0.5000, 0.5000, 0.5000)  4 I 2.93, 8 Be 3.09

---

Copy entry 2 word for word.
Entry from Alexandria: a geometry-optimized Li2BeTcI structure (PBE).

Properties
Magnetic moment in Bohr magnetons per cell: 1.1
Formation energy (no corrections) in eV per atom: 1.122

Unit cell a=5.2058 b=5.2058 c=4.9676 alpha=90.00 beta=90.00 gamma=90.00
Last column: nearest neighbours and their distance in Å.
Atoms (fractional coordinates):
Li (0.0000, 0.5000, 0.0000)  2 Tc 2.60
Li (0.5000, 0.0000, 0.0000)  2 Tc 2.60
Be (0.5000, 0.5000, 0.5000)  8 Li 3.60, 4 I 3.68
I (0.0000, 0.0000, 0.5000)  2 Tc 2.48
Tc (0.0000, 0.0000, 0.0000)  2 I 2.48, 4 Li 2.60